The following is a DFT calculation (GGA+U) of a relaxed structure of Ca2MnIrO6.

Calculated values
Crystal system: monoclinic
Electronic total energy: -138.1 eV per cell

Lattice parameters (Å, degrees): 5.692 5.459 9.390 54.83 90.00 90.00
Positions (direct):
O 0.965 0.847 0.753
Ca 0.939 0.736 0.250
Mn 0.000 0.000 0.500
Mn 0.500 0.000 0.000
O 0.035 0.153 0.247
O 0.709 0.634 0.053
O 0.692 0.257 0.450
O 0.291 0.366 0.947
O 0.535 0.847 0.253
O 0.791 0.634 0.553
Ir 0.500 0.500 0.500
O 0.465 0.153 0.747
Ca 0.439 0.264 0.250
Ca 0.061 0.264 0.750
Ca 0.561 0.736 0.750
O 0.192 0.743 0.050
O 0.209 0.366 0.447
O 0.308 0.743 0.550
O 0.808 0.257 0.950
Ir 0.000 0.500 0.000